[1]
A plane-wave DFT calculation with GGA-PBE was carried out for a relaxed structure of Hf2InCo.

The formation enthalpy at 0 K comes out at -0.322 eV/atom. The size of the total moment is 0.0 μB/f.u. The value obtained for the density of states at the Fermi level is 14.05 states/eV per cell.

The space group is C2/m (No. 12) and the conventional cell measures 13.122, 3.342 and 7.178 Å, with angles of 90.00, 96.30 and 90.00 degrees. The inequivalent atoms are Hf at (0.054, 0.000, 0.308), Hf at (0.233, 0.000, 0.676), In at (0.115, 0.500, 0.963) and Co at (0.094, 0.500, 0.578).

[2]
A plane-wave DFT calculation with GGA-PBE was carried out for a relaxed structure of CaHg2Rh.

The formation enthalpy at 0 K comes out at -0.331 eV/atom. The size of the total moment is 0.0 μB/f.u. The value obtained for the density of states at the Fermi level is 19.15 states/eV per cell.

The space group is Pnma (No. 62) and the conventional cell measures 15.796, 8.128 and 5.609 Å, with angles of 90.00, 90.00 and 90.00 degrees. The inequivalent atoms are Ca at (0.105, 0.250, 0.243), Ca at (0.140, 0.750, 0.463), Hg at (0.036, 0.052, 0.739), Hg at (0.213, 0.547, 0.968), Rh at (0.068, 0.750, 0.971) and Rh at (0.183, 0.250, 0.735).

[3]
A plane-wave DFT calculation with GGA-PBE was carried out for a relaxed structure of CoTcAg2.

The formation enthalpy at 0 K comes out at 0.379 eV/atom. The size of the total moment is 1.7 μB/f.u. The value obtained for the density of states at the Fermi level is 8.62 states/eV per cell.

The space group is Cmm2 (No. 35) and the conventional cell measures 2.911, 4.544 and 9.346 Å, with angles of 90.00, 90.00 and 90.00 degrees. The inequivalent atoms are Co at (0.000, 0.000, 0.000), Tc at (0.000, 0.500, 0.788), Ag at (0.000, 0.000, 0.519) and Ag at (0.000, 0.500, 0.247).

[4]
A plane-wave DFT calculation with GGA-PBE was carried out for a relaxed structure of SrCa3Se.

The size of the total moment is 0.0 μB/f.u. The value obtained for the density of states at the Fermi level is 2.86 states/eV per cell. For the energy relative to the elements, uncorrected, the calculation gives 0.88 eV per atom.

The space group is Pm-3m (No. 221) and the conventional cell measures 6.714, 6.714 and 6.714 Å, with angles of 90.00, 90.00 and 90.00 degrees. The inequivalent atoms are Sr at (0.000, 0.000, 0.000), Ca at (0.000, 0.000, 0.500) and Se at (0.500, 0.500, 0.500).